w:
The following is a DFT calculation (PBE-GGA) of an optimized crystal structure of CaTe2IBr.

Lattice parameters (Å, degrees): 6.2569 6.2569 5.8779 90.00 90.00 90.00
Last column: nearest neighbours and their distance in Å.
Space group P4/mmm (No. 123)
Symmetry-distinct sites (fractional):
Ca  0.0000  0.0000  0.0000 (multiplicity 1)  2 I 2.94, 4 Te 3.13
Te  0.0000  0.5000  0.0000 (multiplicity 2)  2 Ca 3.13
I  0.0000  0.0000  0.5000 (multiplicity 1)  2 Ca 2.94
Br  0.5000  0.5000  0.5000 (multiplicity 1)  8 Te 4.29, 4 I 4.42

Results
Density of states at the Fermi level: 5.724 states/eV/f.u.
Crystal system: tetragonal

x:
The following is a DFT calculation (PBE-GGA) of an optimized crystal structure of CaTe2IBr.

Lattice parameters (Å, degrees): 5.7384 5.7384 5.6877 90.00 90.00 90.00
Last column: nearest neighbours and their distance in Å.
Space group P4/mmm (No. 123)
Symmetry-distinct sites (fractional):
Ca  0.0000  0.0000  0.0000 (multiplicity 1)  8 Te 4.04, 4 I 4.06
Te  0.0000  0.5000  0.5000 (multiplicity 2)  2 Br 2.87
I  0.5000  0.5000  0.0000 (multiplicity 1)  2 Br 2.84
Br  0.5000  0.5000  0.5000 (multiplicity 1)  2 I 2.84, 4 Te 2.87

Results
Density of states at the Fermi level: 4.718 states/eV/f.u.
Crystal system: tetragonal

Stability summary: most stable w, least stable x.

w:
The following is a DFT calculation (PBE-GGA) of an optimized crystal structure of CaTlI2Br.

Lattice parameters (Å, degrees): 5.8863 5.8863 6.5340 90.00 90.00 90.00
Last column: nearest neighbours and their distance in Å.
Space group P4/mmm (No. 123)
Symmetry-distinct sites (fractional):
Ca  0.0000  0.0000  0.0000 (multiplicity 1)  2 Tl 3.27
Tl  0.0000  0.0000  0.5000 (multiplicity 1)  4 I 2.94, 2 Ca 3.27
I  0.0000  0.5000  0.5000 (multiplicity 2)  2 Tl 2.94
Br  0.5000  0.5000  0.0000 (multiplicity 1)  4 Ca 4.16, 8 I 4.40

Results
Density of states at the Fermi level: 1.595 states/eV/f.u.
Crystal system: tetragonal

x:
The following is a DFT calculation (PBE-GGA) of an optimized crystal structure of CaTlI2Br.

Lattice parameters (Å, degrees): 9.1773 4.6163 10.6904 90.00 103.32 90.00
Last column: nearest neighbours and their distance in Å.
Space group P2_1/m (No. 11)
Symmetry-distinct sites (fractional):
Ca  0.1482  0.2500  0.1663 (multiplicity 2)  1 Br 2.85, 4 I 3.17-3.19
Tl  0.3063  0.2500  0.5784 (multiplicity 2)  3 Br 3.24-3.32
I  0.0731  0.7500  0.3470 (multiplicity 2)  2 Ca 3.19
I  0.1982  0.7500  0.9771 (multiplicity 2)  3 Ca 3.17-3.20
Br  0.4471  0.2500  0.3188 (multiplicity 2)  1 Ca 2.85

Results
Density of states at the Fermi level: 0.000 states/eV/f.u.
Crystal system: monoclinic

y:
The following is a DFT calculation (PBE-GGA) of an optimized crystal structure of CaTlI2Br.

Lattice parameters (Å, degrees): 6.1856 6.1856 5.5897 90.00 90.00 90.00
Last column: nearest neighbours and their distance in Å.
Space group P4/mmm (No. 123)
Symmetry-distinct sites (fractional):
Ca  0.0000  0.0000  0.0000 (multiplicity 1)  2 Br 2.79, 4 I 3.09
Tl  0.5000  0.5000  0.5000 (multiplicity 1)  8 I 4.17, 4 Br 4.37
I  0.0000  0.5000  0.0000 (multiplicity 2)  2 Ca 3.09
Br  0.0000  0.0000  0.5000 (multiplicity 1)  2 Ca 2.79

Results
Density of states at the Fermi level: 0.000 states/eV/f.u.
Crystal system: tetragonal

Stability summary: most stable x, least stable w.

w:
The following is a DFT calculation (PBE-GGA) of an optimized crystal structure of CaIn2Br.

Lattice parameters (Å, degrees): 5.0594 5.0594 8.7380 90.00 90.00 90.00
Last column: nearest neighbours and their distance in Å.
Space group I-4m2 (No. 119)
Symmetry-distinct sites (fractional):
Ca  0.0000  0.0000  0.0000 (multiplicity 2)  8 In 3.34-3.58, 4 Br 3.34
In  0.0000  0.0000  0.5000 (multiplicity 2)  4 In 3.34, 4 Br 3.34, 4 Ca 3.58
In  0.0000  0.5000  0.7500 (multiplicity 2)  4 In 3.34, 4 Ca 3.34, 4 Br 3.58
Br  0.0000  0.5000  0.2500 (multiplicity 2)  4 Ca 3.34, 8 In 3.34-3.58

Results
Density of states at the Fermi level: 2.113 states/eV/f.u.
Crystal system: tetragonal

x:
The following is a DFT calculation (PBE-GGA) of an optimized crystal structure of CaIn2Br.

Lattice parameters (Å, degrees): 7.9195 7.9195 7.9195 90.00 90.00 90.00
Last column: nearest neighbours and their distance in Å.
Space group Fm-3m (No. 225)
Symmetry-distinct sites (fractional):
Ca  0.0000  0.0000  0.0000 (multiplicity 4)  8 In 3.43
In  0.2500  0.2500  0.2500 (multiplicity 8)  4 Br 3.43, 4 Ca 3.43
Br  0.0000  0.0000  0.5000 (multiplicity 4)  8 In 3.43

Results
Density of states at the Fermi level: 3.393 states/eV/f.u.
Crystal system: cubic

Stability summary: most stable w, least stable x.

w:
The following is a DFT calculation (PBE-GGA) of an optimized crystal structure of CaIn3Br.

Lattice parameters (Å, degrees): 6.1313 6.1313 6.1313 90.00 90.00 90.00
Last column: nearest neighbours and their distance in Å.
Space group Pm-3m (No. 221)
Symmetry-distinct sites (fractional):
Ca  0.0000  0.0000  0.0000 (multiplicity 1)  6 In 3.07
In  0.0000  0.0000  0.5000 (multiplicity 3)  2 Ca 3.07
Br  0.5000  0.5000  0.5000 (multiplicity 1)  12 In 4.34

Results
Density of states at the Fermi level: 7.179 states/eV/f.u.
Crystal system: cubic

x:
The following is a DFT calculation (PBE-GGA) of an optimized crystal structure of CaIn3Br.

Lattice parameters (Å, degrees): 5.7962 5.7962 5.7962 90.00 90.00 90.00
Last column: nearest neighbours and their distance in Å.
Space group Pm-3m (No. 221)
Symmetry-distinct sites (fractional):
Ca  0.0000  0.0000  0.0000 (multiplicity 1)  12 In 4.10
In  0.0000  0.5000  0.5000 (multiplicity 3)  2 Br 2.90
Br  0.5000  0.5000  0.5000 (multiplicity 1)  6 In 2.90

Results
Density of states at the Fermi level: 2.942 states/eV/f.u.
Crystal system: cubic

Stability summary: most stable x, least stable w.

w:
The following is a DFT calculation (PBE-GGA) of an optimized crystal structure of Ca3In5Br12.

Lattice parameters (Å, degrees): 18.1501 18.1501 18.1501 90.00 90.00 90.00
Last column: nearest neighbours and their distance in Å.
Space group Ia-3d (No. 230)
Symmetry-distinct sites (fractional):
Ca  0.0000  0.2500  0.1250 (multiplicity 24)  4 Br 3.02
In  0.0000  0.0000  0.0000 (multiplicity 16)  6 Br 3.11
In  0.0000  0.2500  0.3750 (multiplicity 24)  4 Br 3.09
Br  0.0203  0.0861  0.6470 (multiplicity 96)  1 Ca 3.02, 2 In 3.09-3.11

Results
Density of states at the Fermi level: 4.620 states/eV/f.u.
Crystal system: cubic

x:
The following is a DFT calculation (PBE-GGA) of an optimized crystal structure of Ca3In5Br12.

Lattice parameters (Å, degrees): 13.2913 13.2913 4.3699 90.00 90.00 120.00
Last column: nearest neighbours and their distance in Å.
Space group P-62m (No. 189)
Symmetry-distinct sites (fractional):
Ca  0.0000  0.3232  0.0000 (multiplicity 3)  6 Br 2.90-2.93
In  0.0000  0.7079  0.5000 (multiplicity 3)  7 Br 3.20-3.39
In  0.3333  0.6667  0.5000 (multiplicity 2)  6 Br 3.33
Br  0.0000  0.1767  0.5000 (multiplicity 3)  2 Ca 2.93
Br  0.0000  0.4668  0.5000 (multiplicity 3)  2 Ca 2.90, 1 In 3.20
Br  0.1962  0.7456  0.0000 (multiplicity 6)  1 Ca 2.93, 2 In 3.24

Results
Density of states at the Fermi level: 8.745 states/eV/f.u.
Crystal system: hexagonal

Stability summary: most stable x, least stable w.

w:
The following is a DFT calculation (PBE-GGA) of an optimized crystal structure of CaIn2Br2.

Lattice parameters (Å, degrees): 3.9919 3.9919 23.4659 90.00 90.00 90.00
Last column: nearest neighbours and their distance in Å.
Space group I4/mmm (No. 139)
Symmetry-distinct sites (fractional):
Ca  0.0000  0.0000  0.0000 (multiplicity 2)  8 Br 3.28
In  0.0000  0.5000  0.2500 (multiplicity 4)  4 In 2.82
Br  0.0000  0.0000  0.4292 (multiplicity 4)  4 Ca 3.28, 1 Br 3.32

Results
Density of states at the Fermi level: 1.350 states/eV/f.u.
Crystal system: tetragonal

x:
The following is a DFT calculation (PBE-GGA) of an optimized crystal structure of CaIn2Br2.

Lattice parameters (Å, degrees): 7.5039 7.5039 5.9758 90.00 90.00 90.00
Last column: nearest neighbours and their distance in Å.
Space group P4/mbm (No. 127)
Symmetry-distinct sites (fractional):
Ca  0.0000  0.0000  0.0000 (multiplicity 2)  4 Br 2.79
In  0.1793  0.3207  0.5000 (multiplicity 4)  2 Br 3.39
Br  0.1699  0.6699  0.0000 (multiplicity 4)  2 Ca 2.79

Results
Density of states at the Fermi level: 1.271 states/eV/f.u.
Crystal system: tetragonal

Stability summary: most stable w, least stable x.

w:
The following is a DFT calculation (PBE-GGA) of an optimized crystal structure of CaInSe2Br.

Lattice parameters (Å, degrees): 5.6272 5.6272 5.6442 90.00 90.00 90.00
Last column: nearest neighbours and their distance in Å.
Space group P4/mmm (No. 123)
Symmetry-distinct sites (fractional):
Ca  0.0000  0.0000  0.0000 (multiplicity 1)  4 Se 2.81, 2 Br 2.82
In  0.5000  0.5000  0.5000 (multiplicity 1)  4 Br 3.98, 8 Se 3.99
Se  0.0000  0.5000  0.0000 (multiplicity 2)  2 Ca 2.81
Br  0.0000  0.0000  0.5000 (multiplicity 1)  2 Ca 2.82

Results
Density of states at the Fermi level: 5.098 states/eV/f.u.
Crystal system: tetragonal

x:
The following is a DFT calculation (PBE-GGA) of an optimized crystal structure of CaInSe2Br.

Lattice parameters (Å, degrees): 5.3134 5.3134 5.3911 90.00 90.00 90.00
Last column: nearest neighbours and their distance in Å.
Space group P4/mmm (No. 123)
Symmetry-distinct sites (fractional):
Ca  0.0000  0.0000  0.0000 (multiplicity 1)  4 Br 3.76, 8 Se 3.78
In  0.5000  0.5000  0.5000 (multiplicity 1)  4 Se 2.66, 2 Br 2.70
Se  0.0000  0.5000  0.5000 (multiplicity 2)  2 In 2.66
Br  0.5000  0.5000  0.0000 (multiplicity 1)  2 In 2.70

Results
Density of states at the Fermi level: 2.050 states/eV/f.u.
Crystal system: tetragonal

Stability summary: most stable x, least stable w.

w:
The following is a DFT calculation (PBE-GGA) of an optimized crystal structure of CaIrBr2.

Lattice parameters (Å, degrees): 6.7907 7.2740 8.2042 90.00 90.00 90.00
Last column: nearest neighbours and their distance in Å.
Space group Fmmm (No. 69)
Symmetry-distinct sites (fractional):
Ca  0.0000  0.0000  0.0000 (multiplicity 4)  4 Br 2.74
Ir  0.0000  0.0000  0.5000 (multiplicity 4)  4 Br 2.74
Br  0.0000  0.2500  0.2500 (multiplicity 8)  2 Ca 2.74, 2 Ir 2.74

Results
Density of states at the Fermi level: 2.933 states/eV/f.u.
Crystal system: orthorhombic

x:
The following is a DFT calculation (PBE-GGA) of an optimized crystal structure of CaIrBr2.

Lattice parameters (Å, degrees): 7.0475 7.0475 7.0475 90.00 90.00 90.00
Last column: nearest neighbours and their distance in Å.
Space group Fm-3m (No. 225)
Symmetry-distinct sites (fractional):
Ca  0.0000  0.0000  0.0000 (multiplicity 4)  8 Br 3.05
Ir  0.0000  0.0000  0.5000 (multiplicity 4)  8 Br 3.05
Br  0.2500  0.2500  0.2500 (multiplicity 8)  4 Ca 3.05, 4 Ir 3.05

Results
Density of states at the Fermi level: 4.310 states/eV/f.u.
Crystal system: cubic

y:
The following is a DFT calculation (PBE-GGA) of an optimized crystal structure of CaIrBr2.

Lattice parameters (Å, degrees): 7.1834 7.1834 7.1834 90.00 90.00 90.00
Last column: nearest neighbours and their distance in Å.
Space group F-43m (No. 216)
Symmetry-distinct sites (fractional):
Ca  0.0000  0.0000  0.0000 (multiplicity 4)  4 Br 3.11, 4 Ir 3.11
Ir  0.2500  0.2500  0.2500 (multiplicity 4)  4 Br 3.11, 4 Ca 3.11
Br  0.0000  0.0000  0.5000 (multiplicity 4)  4 Ir 3.11, 4 Br 3.11
Br  0.2500  0.2500  0.7500 (multiplicity 4)  4 Br 3.11, 4 Ca 3.11

Results
Density of states at the Fermi level: 5.242 states/eV/f.u.
Crystal system: cubic

Stability summary: most stable w, least stable y.

w:
The following is a DFT calculation (PBE-GGA) of an optimized crystal structure of CaIrSeBr2.

Lattice parameters (Å, degrees): 5.0759 5.0759 5.0642 90.00 90.00 90.00
Last column: nearest neighbours and their distance in Å.
Space group P4/mmm (No. 123)
Symmetry-distinct sites (fractional):
Ca  0.0000  0.0000  0.0000 (multiplicity 1)  8 Br 3.59, 4 Se 3.59
Ir  0.5000  0.5000  0.5000 (multiplicity 1)  2 Se 2.53, 4 Br 2.54
Se  0.5000  0.5000  0.0000 (multiplicity 1)  2 Ir 2.53
Br  0.0000  0.5000  0.5000 (multiplicity 2)  2 Ir 2.54

Results
Density of states at the Fermi level: 3.149 states/eV/f.u.
Crystal system: tetragonal

x:
The following is a DFT calculation (PBE-GGA) of an optimized crystal structure of CaIrSeBr2.

Lattice parameters (Å, degrees): 4.8232 4.8232 6.1720 90.00 90.00 90.00
Last column: nearest neighbours and their distance in Å.
Space group P4/mmm (No. 123)
Symmetry-distinct sites (fractional):
Ca  0.0000  0.0000  0.0000 (multiplicity 1)  2 Ir 3.09, 4 Se 3.41
Ir  0.0000  0.0000  0.5000 (multiplicity 1)  4 Br 2.41
Se  0.5000  0.5000  0.0000 (multiplicity 1)  4 Ca 3.41
Br  0.0000  0.5000  0.5000 (multiplicity 2)  2 Ir 2.41

Results
Density of states at the Fermi level: 5.903 states/eV/f.u.
Crystal system: tetragonal

y:
The following is a DFT calculation (PBE-GGA) of an optimized crystal structure of CaIrSeBr2.

Lattice parameters (Å, degrees): 5.3569 5.3569 5.7881 90.00 90.00 90.00
Last column: nearest neighbours and their distance in Å.
Space group P4/mmm (No. 123)
Symmetry-distinct sites (fractional):
Ca  0.0000  0.0000  0.0000 (multiplicity 1)  4 Br 2.68, 2 Se 2.89
Ir  0.5000  0.5000  0.5000 (multiplicity 1)  4 Se 3.79, 8 Br 3.94
Se  0.0000  0.0000  0.5000 (multiplicity 1)  2 Ca 2.89
Br  0.0000  0.5000  0.0000 (multiplicity 2)  2 Ca 2.68

Results
Density of states at the Fermi level: 10.848 states/eV/f.u.
Crystal system: tetragonal

Stability summary: most stable w, least stable y.

w:
The following is a DFT calculation (PBE-GGA) of an optimized crystal structure of KCaBr.

Lattice parameters (Å, degrees): 8.6383 8.6383 8.6383 90.00 90.00 90.00
Last column: nearest neighbours and their distance in Å.
Space group F-43m (No. 216)
Symmetry-distinct sites (fractional):
K  0.0000  0.0000  0.0000 (multiplicity 4)  4 Br 3.74, 4 Ca 3.74
Ca  0.2500  0.2500  0.7500 (multiplicity 4)  4 K 3.74
Br  0.2500  0.2500  0.2500 (multiplicity 4)  4 K 3.74

Results
Crystal system: cubic

x:
The following is a DFT calculation (PBE-GGA) of an optimized crystal structure of KCaBr.

Lattice parameters (Å, degrees): 16.0624 4.1435 7.1775 90.00 90.00 90.00
Last column: nearest neighbours and their distance in Å.
Space group Amm2 (No. 38)
Symmetry-distinct sites (fractional):
K  0.2206  0.0000  0.0000 (multiplicity 4)  3 Br 3.52-3.54
Ca  0.0000  0.0000  0.6667 (multiplicity 2)  6 Ca 4.14, 6 K 4.28
Ca  0.5000  0.0000  0.9970 (multiplicity 2)  6 Br 3.06
Br  0.3816  0.0000  0.6639 (multiplicity 4)  3 Ca 3.06

Results
Density of states at the Fermi level: 2.376 states/eV/f.u.
Crystal system: orthorhombic

Stability summary: most stable x, least stable w.